16
Lattice="6.7408 0.0000 0.0000 0.0000 6.7408 0.0000 0.0000 0.0000 6.7408" Properties=species:S:1:pos:R:3 comment="PBE-GGA BeAg2Pb, optimized geometry" relative_energy_mev_per_atom=242.7 delta_e_f_mev_per_atom=455 volume_a3_per_cell=306.3 spacegroup="F-43m (216)" pbc="T T T"
Be 0.0000 0.0000 0.0000
Be 0.0000 3.3704 3.3704
Be 3.3704 0.0000 3.3704
Be 3.3704 3.3704 0.0000
Ag 0.0000 0.0000 3.3704
Ag 0.0000 3.3704 0.0000
Ag 1.6852 1.6852 5.0556
Ag 1.6852 5.0556 1.6852
Ag 3.3704 0.0000 0.0000
Ag 3.3704 3.3704 3.3704
Ag 5.0556 1.6852 1.6852
Ag 5.0556 5.0556 5.0556
Pb 1.6852 1.6852 1.6852
Pb 1.6852 5.0556 5.0556
Pb 5.0556 1.6852 5.0556
Pb 5.0556 5.0556 1.6852



5
Lattice="5.2000 0.0000 0.0000 0.0000 5.2000 0.0000 0.0000 0.0000 5.2000" Properties=species:S:1:pos:R:3 comment="PBE-GGA Ge3TeSe, optimized geometry" relative_energy_mev_per_atom=0.0 e_form_raw_ev_per_atom=0.56 volume_a3_per_cell=140.6 spacegroup="Pm-3m (221)" pbc="T T T"
Ge 0.0000 0.0000 2.6000
Ge 0.0000 2.6000 0.0000
Ge 2.6000 0.0000 0.0000
Te 2.6000 2.6000 2.6000
Se 0.0000 0.0000 0.0000